Here is LiFe2OF3 at its PBEsol-relaxed geometry from the Alexandria database. Energies are from SCAN.

Summary:
As for the total DFT energy (no corrections): -10.011 eV/atom. The calculation puts the energy relative to the lowest polymorph listed for this composition at 122 meV/atom.

Cell: 5.381 5.640 5.640 Å, 120.00 90.00 90.00°
Last column: magnetic moment on the atom in μB.
Fractional coordinates of all 14 atoms:
Li (0.477, 0.333, 0.667)  0.00
Fe (0.000, 0.000, 0.500)  3.61
Fe (0.500, 0.000, 0.000)  0.18
Fe (0.000, 0.500, 0.000)  3.61
F (0.298, 0.163, 0.327)  0.06
F (0.298, 0.163, 0.837)  0.06
F (0.298, 0.673, 0.837)  0.06
F (0.702, 0.327, 0.163)  0.06
O (0.820, 0.333, 0.667)  0.19
F (0.702, 0.837, 0.673)  0.06
F (0.702, 0.837, 0.163)  0.06
O (0.180, 0.667, 0.333)  0.19
Li (0.523, 0.667, 0.333)  0.00
Fe (0.000, 0.500, 0.500)  3.61